Entry 1:
VASP calculation (PBE) on crystalline SrMg6Mo at its relaxed geometry.

Computed properties:
- calculated total energy (Ry/atom) = -0.1877
- magnetic moment (μB per formula unit) = 0.00
- density of states at the Fermi level (states/eV per cell) = 2.9
- energy above the lowest structure with this stoichiometry (eV per atom) = 0.0000

```
8
Lattice="-6.313 -1.536 -1.148 1.625 -2.190 -6.008 0.664 -3.937 1.615" Properties=species:S:1:pos:R:3 pbc="T T T"
Sr -2.012 -3.832 -2.770
Mg -2.824 -2.737 0.234
Mg -3.670 -2.917 -5.602
Mg -1.018 -0.809 -1.554
Mg -4.589 -1.678 -2.203
Mg 1.145 -3.064 -2.196
Mg -0.098 -2.048 -4.952
Mo 0.332 -1.969 0.808
```

Entry 2:
VASP calculation (PBE) on crystalline Sr2MgMo at its relaxed geometry.

Computed properties:
- calculated total energy (Ry/atom) = -0.2460
- magnetic moment (μB per formula unit) = 2.32
- density of states at the Fermi level (states/eV per cell) = 3.7

```
4
Lattice="3.754 0.000 0.000 0.000 3.754 0.000 0.000 0.000 9.148" Properties=species:S:1:pos:R:3 pbc="T T T"
Mg 0.000 0.000 5.196
Sr 0.000 0.000 8.495
Sr 1.877 1.877 2.865
Mo 1.877 1.877 6.315
```

Entry 3:
VASP calculation (PBE) on crystalline Sr2MgMo at its relaxed geometry.

Computed properties:
- calculated total energy (Ry/atom) = -0.2400
- magnetic moment (μB per formula unit) = 2.52
- density of states at the Fermi level (states/eV per cell) = 4.0

```
4
Lattice="6.784 0.009 -0.001 3.323 5.915 0.001 -4.391 -4.092 3.162" Properties=species:S:1:pos:R:3 pbc="T T T"
Mg 4.593 2.692 0.000
Sr 0.324 0.190 0.000
Sr 3.600 -0.634 1.581
Mo 2.253 2.545 1.581
```

Entry 4:
VASP calculation (PBE) on crystalline SrMgMo3 at its relaxed geometry.

Computed properties:
- calculated total energy (Ry/atom) = -0.3218
- magnetic moment (μB per formula unit) = 0.00
- density of states at the Fermi level (states/eV per cell) = 5.4
- energy above the lowest structure with this stoichiometry (eV per atom) = 0.7973

```
5
Lattice="4.835 0.000 0.000 0.000 4.835 0.000 0.000 0.000 4.835" Properties=species:S:1:pos:R:3 pbc="T T T"
Mg 2.417 2.417 2.417
Mo 0.000 0.000 2.417
Mo 2.417 0.000 0.000
Mo 0.000 2.417 0.000
Sr 0.000 0.000 0.000
```